# Mn4ReHg | the Alexandria database | GGA-PBE | optimized geometry
data_Mn4ReHg
_cell_length_a 6.796
_cell_length_b 6.796
_cell_length_c 6.796
_cell_angle_alpha 90.00
_cell_angle_beta 90.00
_cell_angle_gamma 90.00
_symmetry_space_group_name_H-M 'F -4 3 m'
_symmetry_Int_Tables_number 216
_symmetry_space_group_name_Hall 'F -4 2 3'
loop_
_atom_site_label
_atom_site_fract_x
_atom_site_fract_y
_atom_site_fract_z
Mn1 0.124 0.124 0.376
Re1 0.000 0.000 0.000
Hg1 0.250 0.250 0.750
# E   -7.91 eV per atom
# Calculated volume   314 Å³ per cell
# Crystal system   cubic
# Formation energy from the elements   0.323 eV per atom